CeSm6Y2 after structural relaxation, computed with PBE.

Results
calculated density: 6.7 g cm⁻³
symmetry: No. 12
spin magnetization: 1.06 μB/cell
energy relative to the elements: 0.205 eV/atom
raw total energy: -5.037 eV per atom
Fermi-level density of states: 2.256 states/eV/atom

Structure (POSCAR):
```
CeSm6Y2
1.0
-2.708 2.061 -0.490
-3.636 -2.860 -3.995
-5.078 0.217 16.901
Ce Sm Y
1 6 2
Direct
0.500 0.500 0.500
0.437 0.191 0.935
0.563 0.809 0.065
0.771 0.184 0.273
0.102 0.193 0.603
0.229 0.816 0.727
0.898 0.807 0.397
0.828 0.509 0.834
0.172 0.491 0.166
```

=====

NaTeAu3 after structural relaxation, computed with PBE.

Results
formation energy from raw total energies: 0.7547 eV/atom
calculated density: 10.0 g cm⁻³
symmetry: No. 221
spin magnetization: 0.00 μB/cell
raw total energy: -2.104 eV per atom
ΔE to the lowest computed polymorph: 621 meV/atom
Fermi-level density of states: 0.365 states/eV/atom

Structure (POSCAR):
```
NaTeAu3
1.0
-4.621 -1.016 -1.531
0.172 -4.364 2.378
-1.830 2.156 4.090
Na Te Au
1 1 3
Direct
0.000 0.000 0.000
0.500 0.500 0.500
0.000 0.500 0.000
0.000 0.000 0.500
0.500 0.000 0.000
```

=====

HfZr4Pa after structural relaxation, computed with PBE.

Results
calculated density: 9.2 g cm⁻³
symmetry: No. 123
spin magnetization: 0.00 μB/cell
energy relative to the elements: 0.096 eV/atom
raw total energy: -8.844 eV per atom
ΔE to the lowest computed polymorph: 21 meV/atom
Fermi-level density of states: 1.332 states/eV/atom

Structure (POSCAR):
```
HfZr4Pa
1.0
-4.270 -0.969 -3.125
0.557 -5.278 0.875
-5.777 0.666 7.688
Hf Zr Pa
2 8 2
Direct
0.000 0.000 0.000
0.500 0.500 0.000
0.000 0.500 0.168
0.500 0.000 0.832
0.500 0.500 0.337
0.000 0.000 0.663
0.000 0.500 0.832
0.500 0.000 0.168
0.500 0.500 0.663
0.000 0.000 0.337
0.500 0.000 0.500
0.000 0.500 0.500
```

=====

Hf8TiCo2 after structural relaxation, computed with PBE.

Results
calculated density: 11.9 g cm⁻³
symmetry: No. 12
spin magnetization: 1.20 μB/cell
energy relative to the elements: -0.001 eV/atom
raw total energy: -9.249 eV per atom
Fermi-level density of states: 1.050 states/eV/atom

Structure (POSCAR):
```
Hf8TiCo2
1.0
-2.595 1.451 -4.850
-5.934 -1.457 3.707
-3.837 4.238 4.289
Hf Ti Co
8 1 2
Direct
0.400 0.378 0.857
0.600 0.143 0.622
0.141 0.799 0.799
0.859 0.201 0.201
0.400 0.857 0.378
0.600 0.622 0.143
0.892 0.587 0.587
0.108 0.413 0.413
0.000 0.000 0.000
0.693 0.743 0.743
0.307 0.257 0.257
```

=====

Sr3Y2PaAs6 after structural relaxation, computed with PBE.

Results
calculated density: 5.5 g cm⁻³
symmetry: No. 12
spin magnetization: 0.00 μB/cell
energy relative to the elements: -1.260 eV/atom
raw total energy: -5.873 eV per atom
Fermi-level density of states: 0.787 states/eV/atom

Structure (POSCAR):
```
Sr3Y2PaAs6
1.0
7.385 -0.004 -0.001
-3.694 6.395 -0.001
-1.232 -2.133 7.140
Sr Y Pa As
3 2 1 6
Direct
0.169 0.831 0.500
0.831 0.169 0.500
0.500 0.500 0.500
0.333 0.667 0.000
0.667 0.333 0.000
0.000 0.000 0.000
0.927 0.601 0.780
0.748 0.748 0.221
0.073 0.399 0.220
0.601 0.927 0.780
0.252 0.252 0.779
0.399 0.073 0.220
```

=====

Pr6Bi3Sb2Pb after structural relaxation, computed with PBE.

Results
formation energy from raw total energies: -0.9472 eV/atom
calculated density: 7.7 g cm⁻³
symmetry: No. 12
spin magnetization: 0.00 μB/cell
raw total energy: -5.303 eV per atom
Fermi-level density of states: 0.405 states/eV/atom

Structure (POSCAR):
```
Pr6Bi3Sb2Pb
1.0
-2.770 2.876 -2.292
-0.493 -6.026 -6.965
-6.280 -4.148 7.008
Pr Bi Sb Pb
6 3 2 1
Direct
0.333 0.911 0.666
0.669 0.580 0.337
0.667 0.089 0.334
0.002 0.252 0.003
0.998 0.748 0.997
0.331 0.420 0.663
0.500 0.500 0.000
0.834 0.166 0.667
0.166 0.834 0.333
0.833 0.666 0.666
0.167 0.334 0.334
0.500 0.000 0.000
```

=====

TlIn6Bi after structural relaxation, computed with PBE.

Results
calculated density: 8.0 g cm⁻³
symmetry: No. 123
spin magnetization: 0.00 μB/cell
energy relative to the elements: 0.013 eV/atom
raw total energy: -2.822 eV per atom
ΔE to the lowest computed polymorph: 0 meV/atom
Fermi-level density of states: 0.256 states/eV/atom

Structure (POSCAR):
```
TlIn6Bi
1.0
-3.904 -3.128 -1.061
3.033 -2.743 -3.071
2.238 -5.083 6.749
Tl In Bi
1 6 1
Direct
0.000 0.000 0.000
0.500 0.500 0.000
0.500 0.500 0.500
0.500 0.000 0.250
0.500 0.000 0.750
0.000 0.500 0.250
0.000 0.500 0.750
0.000 0.000 0.500
```

=====

Mo2AsW after structural relaxation, computed with PBE.

Results
calculated density: 10.9 g cm⁻³
symmetry: No. 122
spin magnetization: 0.00 μB/cell
energy relative to the elements: 0.808 eV/atom
raw total energy: -9.008 eV per atom
Fermi-level density of states: 1.148 states/eV/atom

Structure (POSCAR):
```
Mo2AsW
1.0
-5.726 3.530 -1.621
-2.840 -1.835 6.036
-3.189 3.185 3.433
Mo As W
4 2 2
Direct
0.605 0.125 0.250
0.145 0.625 0.250
0.375 0.395 0.750
0.875 0.855 0.750
0.500 0.500 0.000
0.250 0.750 0.500
0.000 0.000 0.000
0.750 0.250 0.500
```

=====

CaPa2TiS8 after structural relaxation, computed with PBE.

Results
formation energy from raw total energies: -1.4490 eV/atom
calculated density: 4.4 g cm⁻³
symmetry: No. 10
spin magnetization: 0.00 μB/cell
raw total energy: -6.608 eV per atom

Structure (POSCAR):
```
CaPa2TiS8
1.0
-5.569 -0.843 -2.696
2.525 -2.295 -4.898
-0.448 -7.430 3.250
Ca Pa Ti S
1 2 1 8
Direct
0.000 0.000 0.500
0.500 0.500 0.754
0.500 0.500 0.246
0.000 0.000 0.000
0.168 0.780 0.215
0.678 0.729 0.000
0.832 0.220 0.215
0.832 0.220 0.785
0.322 0.271 0.000
0.168 0.780 0.785
0.652 0.719 0.500
0.348 0.281 0.500
```

=====

TbSmPu2Sb4 after structural relaxation, computed with PBE.

Results
formation energy from raw total energies: -0.8762 eV/atom
calculated density: 8.7 g cm⁻³
symmetry: No. 10
spin magnetization: 10.07 μB/cell
raw total energy: -7.689 eV per atom
Fermi-level density of states: 3.550 states/eV/atom

Structure (POSCAR):
```
TbSmPu2Sb4
1.0
4.435 0.000 0.000
0.000 7.659 -0.147
0.000 2.705 7.188
Tb Sm Pu Sb
1 1 2 4
Direct
0.000 0.500 0.500
0.500 0.500 0.000
0.000 0.000 0.000
0.500 0.000 0.500
0.000 0.754 0.746
0.000 0.246 0.254
0.500 0.752 0.251
0.500 0.248 0.749
```

=====

Pm2Nd3In3 after structural relaxation, computed with PBE.

Results
calculated density: 7.0 g cm⁻³
symmetry: No. 12
spin magnetization: 0.00 μB/cell
energy relative to the elements: -0.237 eV/atom
raw total energy: -4.240 eV per atom
ΔE to the lowest computed polymorph: 125 meV/atom
Fermi-level density of states: 0.968 states/eV/atom

Structure (POSCAR):
```
Pm2Nd3In3
1.0
5.419 0.000 0.000
0.000 6.276 -1.064
-2.709 -3.400 7.991
Pm Nd In
2 3 3
Direct
0.232 0.157 0.465
0.768 0.843 0.535
0.622 0.202 0.244
0.500 0.500 0.000
0.378 0.798 0.756
0.150 0.558 0.300
0.850 0.442 0.700
0.000 0.000 0.000
```

=====

What did the fifth record say?
Sr3Y2PaAs6 after structural relaxation, computed with PBE.

Results
calculated density: 5.5 g cm⁻³
symmetry: No. 12
spin magnetization: 0.00 μB/cell
energy relative to the elements: -1.260 eV/atom
raw total energy: -5.873 eV per atom
Fermi-level density of states: 0.787 states/eV/atom

Structure (POSCAR):
```
Sr3Y2PaAs6
1.0
7.385 -0.004 -0.001
-3.694 6.395 -0.001
-1.232 -2.133 7.140
Sr Y Pa As
3 2 1 6
Direct
0.169 0.831 0.500
0.831 0.169 0.500
0.500 0.500 0.500
0.333 0.667 0.000
0.667 0.333 0.000
0.000 0.000 0.000
0.927 0.601 0.780
0.748 0.748 0.221
0.073 0.399 0.220
0.601 0.927 0.780
0.252 0.252 0.779
0.399 0.073 0.220
```

=====

Q: Number 6 is which compound?
A: Pr6Bi3Sb2Pb